Entry 1:
This record from the Alexandria database describes a geometry-optimized Pa2Tl2Se5 structure. The functional is PBE-GGA.

The energy comes out at -50.92 eV per formula unit. The total magnetic moment is 0.225 μB per atom. The calculation puts the formation energy (no corrections) at -1.086 eV/atom.

a b c (Å): 16.378 7.921 7.922
angles (deg): 90.00 90.00 90.00
Space group Cmce (No. 64)
Asymmetric unit:
Pa 0.000 0.157 0.157 x8
Tl 0.201 0.000 0.500 x8
Se 0.000 0.000 0.500 x4
Se 0.113 0.147 0.853 x16

---

Entry 2:
This record from the Alexandria database describes a geometry-optimized PaTl2Se4 structure. The functional is PBE-GGA.

The energy comes out at -33.29 eV per formula unit. The total magnetic moment is 0.000 μB per atom. The calculation puts the formation energy (no corrections) at -0.731 eV/atom.

a b c (Å): 5.560 5.560 16.214
angles (deg): 90.00 90.00 90.00
Space group I4/mmm (No. 139)
Asymmetric unit:
Pa 0.000 0.000 0.000 x2
Tl 0.000 0.000 0.363 x4
Se 0.000 0.000 0.165 x4
Se 0.000 0.500 0.000 x4

---

Entry 3:
This record from the Alexandria database describes a geometry-optimized Pa3Tl2Se6 structure. The functional is PBE-GGA.

The energy comes out at -66.02 eV per formula unit. The total magnetic moment is 0.458 μB per atom. The calculation puts the formation energy (no corrections) at -1.081 eV/atom.

a b c (Å): 7.083 12.270 8.413
angles (deg): 90.00 106.33 90.00
Space group C2/m (No. 12)
Asymmetric unit:
Pa 0.000 0.000 0.000 x2
Pa 0.000 0.334 0.000 x4
Tl 0.000 0.167 0.500 x4
Se 0.236 0.167 0.208 x8
Se 0.237 0.500 0.209 x4